Computed, not measured: a geometry-optimized LaZnTe2 structure at the GGA-PBEsol level of DFT.

* V: 26.90 Å³/atom
* VASP energy: -4.001 eV/atom
* raw formation energy: -506 meV/atom
* size of the total moment: 0.000 Bohr magnetons per cell

Lattice parameters (Å, degrees): 7.5503 7.5503 7.5503 90.00 90.00 90.00
Space group F-43m (No. 216)
Symmetry-distinct sites (fractional):
La (0.0000, 0.0000, 0.0000) (multiplicity 4)
Zn (0.2500, 0.2500, 0.7500) (multiplicity 4)
Te (0.0000, 0.0000, 0.5000) (multiplicity 4)
Te (0.2500, 0.2500, 0.2500) (multiplicity 4)

***

Computed, not measured: a geometry-optimized LaZnTe structure at the GGA-PBEsol level of DFT.

* V: 27.40 Å³/atom
* VASP energy: -4.039 eV/atom
* raw formation energy: -555 meV/atom
* size of the total moment: 0.001 Bohr magnetons per cell

Lattice parameters (Å, degrees): 6.9020 6.9020 6.9020 90.00 90.00 90.00
Space group F-43m (No. 216)
Symmetry-distinct sites (fractional):
La (0.0000, 0.0000, 0.0000) (multiplicity 4)
Zn (0.2500, 0.2500, 0.7500) (multiplicity 4)
Te (0.0000, 0.0000, 0.5000) (multiplicity 4)

***

Computed, not measured: a geometry-optimized LaZnTe2 structure at the GGA-PBEsol level of DFT.

* V: 27.69 Å³/atom
* VASP energy: -4.502 eV/atom
* raw formation energy: -1007 meV/atom
* size of the total moment: 0.000 Bohr magnetons per cell

Lattice parameters (Å, degrees): 4.2117 4.3673 6.3751 90.00 109.14 90.00
Space group Pm (No. 6)
Symmetry-distinct sites (fractional):
La (0.0000, 0.0000, 0.0000) (multiplicity 1)
Zn (0.8182, 0.5000, 0.5880) (multiplicity 1)
Te (0.2981, 0.0000, 0.5916) (multiplicity 1)
Te (0.5729, 0.5000, 0.1469) (multiplicity 1)

***

Computed, not measured: a geometry-optimized La2ZrTe structure at the GGA-PBEsol level of DFT.

* V: 28.43 Å³/atom
* VASP energy: -6.340 eV/atom
* raw formation energy: -513 meV/atom
* size of the total moment: 0.000 Bohr magnetons per cell

Lattice parameters (Å, degrees): 11.9440 3.6118 5.4916 90.00 106.22 90.00
Space group Cm (No. 8)
Symmetry-distinct sites (fractional):
La (0.0000, 0.0000, 0.0000) (multiplicity 2)
La (0.2078, 0.0000, 0.6265) (multiplicity 2)
Zr (0.2708, 0.5000, 0.1715) (multiplicity 2)
Te (0.4531, 0.0000, 0.4760) (multiplicity 2)

***

Computed, not measured: a geometry-optimized LaZr3Te structure at the GGA-PBEsol level of DFT.

* V: 29.93 Å³/atom
* VASP energy: -6.921 eV/atom
* raw formation energy: 307 meV/atom
* size of the total moment: 0.043 Bohr magnetons per cell

Lattice parameters (Å, degrees): 5.3089 5.3089 5.3089 90.00 90.00 90.00
Space group Pm-3m (No. 221)
Symmetry-distinct sites (fractional):
La (0.0000, 0.0000, 0.0000) (multiplicity 1)
Zr (0.0000, 0.5000, 0.5000) (multiplicity 3)
Te (0.5000, 0.5000, 0.5000) (multiplicity 1)

***

Computed, not measured: a geometry-optimized La2ZrTe structure at the GGA-PBEsol level of DFT.

* V: 30.96 Å³/atom
* VASP energy: -6.175 eV/atom
* raw formation energy: -348 meV/atom
* size of the total moment: 0.001 Bohr magnetons per cell

Lattice parameters (Å, degrees): 3.8148 3.8148 29.4771 90.00 90.00 120.00
Space group R-3m (No. 166, hexagonal axes)
Symmetry-distinct sites (fractional):
La (0.0000, 0.0000, 0.2444) (multiplicity 6)
Zr (0.0000, 0.0000, 0.0000) (multiplicity 3)
Te (0.0000, 0.0000, 0.5000) (multiplicity 3)

***

Computed, not measured: a geometry-optimized LaZrTe2 structure at the GGA-PBEsol level of DFT.

* V: 25.37 Å³/atom
* distance to the lowest polymorph of the same formula: 0.000 eV/atom
* VASP energy: -6.435 eV/atom
* raw formation energy: -1063 meV/atom
* size of the total moment: 0.000 Bohr magnetons per cell

Lattice parameters (Å, degrees): 5.2329 5.2329 3.7056 90.00 90.00 90.00
Space group P4/mmm (No. 123)
Symmetry-distinct sites (fractional):
La (0.0000, 0.0000, 0.0000) (multiplicity 1)
Zr (0.5000, 0.5000, 0.0000) (multiplicity 1)
Te (0.0000, 0.5000, 0.5000) (multiplicity 2)

***

Computed, not measured: a geometry-optimized LaZrTe2 structure at the GGA-PBEsol level of DFT.

* V: 27.06 Å³/atom
* distance to the lowest polymorph of the same formula: 0.375 eV/atom
* VASP energy: -6.060 eV/atom
* raw formation energy: -688 meV/atom
* size of the total moment: 3.793 Bohr magnetons per cell

Lattice parameters (Å, degrees): 4.3651 4.3651 11.3625 90.00 90.00 90.00
Space group I-4m2 (No. 119)
Symmetry-distinct sites (fractional):
La (0.0000, 0.0000, 0.0000) (multiplicity 2)
Zr (0.0000, 0.5000, 0.7500) (multiplicity 2)
Te (0.0000, 0.0000, 0.5000) (multiplicity 2)
Te (0.0000, 0.5000, 0.2500) (multiplicity 2)